VASP calculation (PBE-GGA) on an optimized crystal structure of Ho10Bi3Sb3.

**Spin magnetization**: 0.0001 μB/atom
**Density**: 9.823 Mg/m³
**ΔE_f (raw)**: -0.781 eV per atom

Unit cell a=6.3160 b=9.0354 c=9.0354 alpha=120.00 beta=90.00 gamma=90.00
With the nearest neighbours (Å) after each atom.
Fractional coordinates of all 16 atoms:
Ho (0.2459, 0.6667, 0.3333)  2 Ho 3.11-3.21, 3 Sb 3.20, 3 Bi 3.22
Ho (0.2459, 0.3333, 0.6667)  2 Ho 3.11-3.21, 3 Sb 3.20, 3 Bi 3.22
Ho (0.7541, 0.3333, 0.6667)  2 Ho 3.11-3.21, 3 Sb 3.20, 3 Bi 3.22
Ho (0.7541, 0.6667, 0.3333)  2 Ho 3.11-3.21, 3 Sb 3.20, 3 Bi 3.22
Ho (0.5000, 0.0000, 0.7558)  3 Bi 3.09-3.30, 2 Sb 3.41
Ho (0.5000, 0.7558, 0.0000)  3 Bi 3.09-3.30, 2 Sb 3.41
Ho (0.5000, 0.2442, 0.2442)  3 Bi 3.09-3.30, 2 Sb 3.41
Ho (0.0000, 0.0000, 0.2455)  3 Sb 3.07-3.31, 2 Bi 3.42
Ho (0.0000, 0.2455, 0.0000)  3 Sb 3.07-3.31, 2 Bi 3.42
Ho (0.0000, 0.7545, 0.7545)  3 Sb 3.07-3.31, 2 Bi 3.42
Bi (0.5000, 0.0000, 0.3908)  9 Ho 3.09-3.42
Bi (0.5000, 0.3908, 0.0000)  9 Ho 3.09-3.42
Bi (0.5000, 0.6092, 0.6092)  9 Ho 3.09-3.42
Sb (0.0000, 0.0000, 0.6122)  9 Ho 3.07-3.41
Sb (0.0000, 0.6122, 0.0000)  9 Ho 3.07-3.41
Sb (0.0000, 0.3878, 0.3878)  9 Ho 3.07-3.41

VASP calculation (PBE-GGA) on an optimized crystal structure of LuNiSb2.

**Spin magnetization**: 0.0000 μB/atom
**Density**: 7.976 Mg/m³
**ΔE_f (raw)**: -0.025 eV per atom

Unit cell a=3.4965 b=3.4965 c=9.5977 alpha=79.50 beta=79.50 gamma=60.00
With the nearest neighbours (Å) after each atom.
Fractional coordinates of all 4 atoms:
Sb (0.1084, 0.1084, 0.6747)  3 Ni 2.60
Sb (0.8916, 0.8916, 0.3253)  3 Ni 2.60
Lu (0.0000, 0.0000, 0.0000)  2 Sb 3.05
Ni (0.5000, 0.5000, 0.5000)  6 Sb 2.60

VASP calculation (PBE-GGA) on an optimized crystal structure of ZnMo2Os.

**Spin magnetization**: 0.0000 μB/atom
**Density**: 12.184 Mg/m³
**E_form**: 0.59 eV/f.u.

Unit cell a=9.2836 b=9.2836 c=9.2836 alpha=17.19 beta=17.19 gamma=17.19
With the nearest neighbours (Å) after each atom.
Fractional coordinates of all 4 atoms:
Mo (0.9983, 0.9983, 0.9983)  3 Os 2.75, 6 Mo 2.78, 3 Zn 2.83
Mo (0.5017, 0.5017, 0.5017)  3 Os 2.75, 6 Mo 2.78, 3 Zn 2.83
Os (0.2500, 0.2500, 0.2500)  6 Mo 2.75, 6 Os 2.78
Zn (0.7500, 0.7500, 0.7500)  6 Zn 2.78, 6 Mo 2.83

VASP calculation (PBE-GGA) on an optimized crystal structure of PmTlRh4.

**Spin magnetization**: 0.0000 μB/atom
**Density**: 11.683 Mg/m³
**E_form**: -2.07 eV/f.u.

Unit cell a=5.3481 b=5.3481 c=5.3481 alpha=60.00 beta=60.00 gamma=60.00
With the nearest neighbours (Å) after each atom.
Fractional coordinates of all 6 atoms:
Tl (0.0000, 0.0000, 0.0000)  12 Rh 3.13, 4 Pm 3.28
Rh (0.6256, 0.6256, 0.1231)  6 Rh 2.66-2.69
Rh (0.6256, 0.1231, 0.6256)  6 Rh 2.66-2.69
Rh (0.6256, 0.6256, 0.6256)  6 Rh 2.66-2.69
Rh (0.1231, 0.6256, 0.6256)  6 Rh 2.66-2.69
Pm (0.2500, 0.2500, 0.2500)  12 Rh 3.14, 4 Tl 3.28